No. 1
Material: CaBiPb2
Method: DFT, PBE
State: optimized geometry

abc: 3.6029 3.6029 36.6343
angles: 90.00 90.00 120.00
Space group R-3m (No. 166, hexagonal axes)
Unique sites:
Ca  0.0000  0.0000  0.0000
Bi  0.0000  0.0000  0.5000
Pb  0.0000  0.0000  0.0895

Computed properties:
electronic total energy = -38.67 eV per cell
DFT formation energy = 0.10 eV/atom
N(E_F) = 3.2 states/eV/f.u.

No. 2
Material: SrZr2TiPt
Method: DFT, PBE
State: optimized geometry

abc: 5.0214 5.0214 4.9874
angles: 90.00 90.00 90.00
Space group P4/mmm (No. 123)
Unique sites:
Sr  0.0000  0.0000  0.0000
Zr  0.0000  0.5000  0.5000
Ti  0.5000  0.5000  0.5000
Pt  0.5000  0.5000  0.0000

Computed properties:
electronic total energy = -31.25 eV per cell
DFT formation energy = 0.29 eV/atom
N(E_F) = 3.5 states/eV/f.u.

No. 3
Material: Zr3Au
Method: DFT, PBE
State: optimized geometry

abc: 3.1784 4.8346 5.7183
angles: 90.00 103.08 90.00
Space group P2/m (No. 10)
Unique sites:
Zr  0.0000  0.0000  0.0000
Zr  0.2764  0.5000  0.7488
Au  0.5000  0.0000  0.5000

Computed properties:
electronic total energy = -29.50 eV per cell
DFT formation energy = -0.14 eV/atom
N(E_F) = 5.2 states/eV/f.u.

No. 4
Material: TiCd2Mo
Method: DFT, PBE
State: optimized geometry

abc: 3.8740 3.8740 20.9871
angles: 90.00 90.00 90.00
Space group I-42d (No. 122)
Unique sites:
Ti  0.0000  0.0000  0.0000
Cd  0.2464  0.2500  0.6250
Mo  0.0000  0.0000  0.5000

Computed properties:
electronic total energy = -72.49 eV per cell
relative energy among the computed polymorphs = 154 meV/atom
DFT formation energy = 0.61 eV/atom
N(E_F) = 2.1 states/eV/f.u.

No. 5
Material: KScTiSb2
Method: DFT, PBE
State: optimized geometry

abc: 5.6134 5.6134 4.6533
angles: 90.00 90.00 90.00
Space group P4/mmm (No. 123)
Unique sites:
K  0.0000  0.0000  0.0000
Sc  0.0000  0.0000  0.5000
Ti  0.5000  0.5000  0.5000
Sb  0.0000  0.5000  0.0000

Computed properties:
E_form (uncorrected) = 1.463 eV per atom
electronic total energy = -16.25 eV per cell
N(E_F) = 7.5 states/eV/f.u.

No. 6
Material: PaTl2TeS4
Method: DFT, PBE
State: optimized geometry

abc: 7.8852 7.8852 8.0317
angles: 90.00 90.00 90.00
Space group I-4 (No. 82)
Unique sites:
Pa  0.0000  0.0000  0.0000
Tl  0.0000  0.0000  0.5000
Tl  0.0000  0.5000  0.2500
Te  0.0000  0.5000  0.7500
S  0.1667  0.1991  0.7998

Computed properties:
E_form (uncorrected) = -0.517 eV per atom
electronic total energy = -76.03 eV per cell
N(E_F) = 3.4 states/eV/f.u.

No. 7
Material: Tm2Ga3Pd5
Method: DFT, PBE
State: optimized geometry

abc: 11.1045 11.5418 5.6846
angles: 90.00 90.00 90.00
Space group Ibam (No. 72)
Unique sites:
Tm  0.1365  0.2209  0.0000
Ga  0.0000  0.5000  0.2500
Ga  0.1367  0.1233  0.5000
Pd  0.0000  0.0000  0.2500
Pd  0.0944  0.3317  0.5000
Pd  0.2309  0.5000  0.2500

Computed properties:
electronic total energy = -206.66 eV per cell
relative energy among the computed polymorphs = 63 meV/atom
DFT formation energy = -0.77 eV/atom
N(E_F) = 4.9 states/eV/f.u.

No. 8
Material: Li3H
Method: DFT, PBE
State: optimized geometry

abc: 2.6214 2.7440 7.5736
angles: 90.00 90.00 90.00
Space group Pmm2 (No. 25)
Unique sites:
Li  0.0000  0.0000  0.0000
Li  0.0000  0.5000  0.3074
Li  0.5000  0.5000  0.6764
H  0.5000  0.0000  0.1997

Computed properties:
electronic total energy = -9.51 eV per cell
relative energy among the computed polymorphs = 79 meV/atom
N(E_F) = 0.8 states/eV/f.u.